Record 1
Compound: In2NiSbTe
Source: the Alexandria database
Functional: PBE
Structure: relaxed

Cell: 5.065 5.065 5.022 Å, 90.00 90.00 90.00°
Fractional coordinates of all 5 atoms:
In 0.000 0.500 0.000
In 0.500 0.000 0.000
Sb 0.000 0.000 0.500
Te 0.500 0.500 0.500
Ni 0.000 0.000 0.000

Properties
space-group type	No. 123
formation energy (no corrections)	-0.047	eV/atom


Record 2
Compound: InTc2Te
Source: the Alexandria database
Functional: PBE
Structure: relaxed

Cell: 4.485 4.485 5.702 Å, 78.70 78.70 41.50°
Fractional coordinates of all 4 atoms:
Te 0.750 0.750 0.750
In 0.250 0.250 0.250
Tc 0.498 0.498 0.533
Tc 0.002 0.002 0.967

Properties
space-group type	No. 12
excess energy over the best structure of this formula in the dataset	219	meV/atom
formation energy (no corrections)	0.415	eV/atom


Record 3
Compound: IrRh2Pb
Source: the Alexandria database
Functional: PBE
Structure: relaxed

Cell: 9.133 9.133 9.133 Å, 18.68 18.68 18.68°
Site moments in Bohr magnetons follow the coordinates.
Fractional coordinates of all 4 atoms:
Rh 0.006 0.006 0.006  0.03
Rh 0.750 0.750 0.750  0.17
Ir 0.493 0.493 0.493  0.05
Pb 0.251 0.251 0.251  0.00

Properties
space-group type	No. 160


Record 4
Compound: ZrReH2
Source: the Alexandria database
Functional: PBE
Structure: relaxed

Cell: 3.926 3.926 3.926 Å, 60.00 60.00 60.00°
Fractional coordinates of all 4 atoms:
Zr 0.000 0.000 0.000
H 0.750 0.750 0.750
H 0.250 0.250 0.250
Re 0.500 0.500 0.500

Properties
space-group type	No. 225
excess energy over the best structure of this formula in the dataset	550	meV/atom


Record 5
Compound: Dy8Ni2Pd
Source: the Alexandria database
Functional: PBE
Structure: relaxed

Cell: 5.016 6.602 9.054 Å, 105.52 106.08 90.00°
Fractional coordinates of all 11 atoms:
Pd 0.500 0.000 0.000
Dy 0.326 0.011 0.651
Dy 0.674 0.989 0.349
Dy 0.799 0.661 0.598
Dy 0.964 0.213 0.928
Dy 0.201 0.339 0.402
Dy 0.408 0.538 0.816
Dy 0.592 0.462 0.184
Dy 0.036 0.787 0.072
Ni 0.182 0.731 0.364
Ni 0.818 0.269 0.636

Properties
space-group type	No. 12
excess energy over the best structure of this formula in the dataset	0	meV/atom


Record 6
Compound: PmAgPdRh
Source: the Alexandria database
Functional: PBE
Structure: relaxed

Cell: 4.758 4.758 4.758 Å, 60.00 60.00 60.00°
Fractional coordinates of all 4 atoms:
Ag 0.250 0.250 0.250
Pm 0.750 0.750 0.750
Rh 0.000 0.000 0.000
Pd 0.500 0.500 0.500

Properties
space-group type	No. 216


Record 7
Compound: ZrCr2As
Source: the Alexandria database
Functional: PBE
Structure: relaxed

Cell: 4.532 4.532 4.532 Å, 60.00 60.00 60.00°
Site moments in Bohr magnetons follow the coordinates.
Fractional coordinates of all 4 atoms:
Zr 0.250 0.250 0.250  -0.21
As 0.500 0.500 0.500  0.04
Cr 0.750 0.750 0.750  -2.92
Cr 0.000 0.000 0.000  2.72

Properties
space-group type	No. 216


Record 8
Compound: CsZnPt
Source: the Alexandria database
Functional: PBE
Structure: relaxed

Cell: 4.554 5.124 10.840 Å, 83.57 89.23 90.00°
Fractional coordinates of all 6 atoms:
Zn 0.251 0.645 0.966
Zn 0.749 0.355 0.034
Cs 0.759 0.225 0.724
Cs 0.241 0.775 0.276
Pt 0.750 0.851 0.005
Pt 0.250 0.149 0.995

Properties
space-group type	No. 2
excess energy over the best structure of this formula in the dataset	7	meV/atom


Record 9
Compound: Zr3NbV8
Source: the Alexandria database
Functional: PBE
Structure: relaxed

Cell: 5.146 5.146 9.012 Å, 73.41 73.41 60.00°
Fractional coordinates of all 12 atoms:
V 0.437 0.933 0.193
V 0.188 0.188 0.436
V 0.938 0.938 0.681
V 0.938 0.442 0.681
V 0.442 0.938 0.681
V 0.437 0.437 0.193
V 0.933 0.437 0.193
V 0.687 0.687 0.940
Zr 0.999 0.999 0.004
Zr 0.375 0.375 0.875
Zr 0.501 0.501 0.497
Nb 0.875 0.875 0.375

Properties
space-group type	No. 160


Record 10
Compound: Ni3C
Source: the Alexandria database
Functional: PBE
Structure: relaxed

Cell: 4.244 2.783 4.244 Å, 90.00 54.79 90.00°
Fractional coordinates of all 4 atoms:
Ni 0.837 0.500 0.837
Ni 0.500 0.000 0.500
Ni 0.163 0.500 0.163
C 0.000 0.000 0.000

Properties
space-group type	No. 65
excess energy over the best structure of this formula in the dataset	165	meV/atom


Record 11
Compound: BeCoAgHg2
Source: the Alexandria database
Functional: PBE
Structure: relaxed

Cell: 4.981 4.009 4.981 Å, 90.00 90.00 90.00°
Site moments in Bohr magnetons follow the coordinates.
Fractional coordinates of all 5 atoms:
Co 0.000 0.000 0.000  0.36
Be 0.000 0.500 0.000  -0.02
Hg 0.500 0.000 0.000  -0.01
Hg 0.000 0.000 0.500  0.00
Ag 0.500 0.500 0.500  0.00

Properties
space-group type	No. 123


Record 12
Compound: AcSmGeCl
Source: the Alexandria database
Functional: PBE
Structure: relaxed

Cell: 5.300 5.300 5.300 Å, 60.00 60.00 60.00°
Fractional coordinates of all 4 atoms:
Sm 0.750 0.750 0.750
Ac 0.250 0.250 0.250
Ge 0.000 0.000 0.000
Cl 0.500 0.500 0.500

Properties
space-group type	No. 216
excess energy over the best structure of this formula in the dataset	0	meV/atom
formation energy (no corrections)	-1.050	eV/atom


Taking the records one at a time from the top gives DFT total energy values of -3.7516, -6.2383, -6.3361, -6.4314, -5.1705, -5.4606, -7.9488, -3.0248, -9.0311, -6.4150, -2.2565, -4.8733 eV/atom.